Entry 1:
The following is a DFT calculation (PBE) of Ba3InIrRuO9 after structural relaxation.

The calculation puts the formation energy without anion corrections at -1.788 eV per atom. The size of the total moment is 3.22 μB/cell.

It has space group P6_3mc (No. 186), with a = 5.9042 Å, b = 5.9042 Å, c = 14.5461 Å, α = 90.00°, β = 90.00° and γ = 120.00°. The inequivalent atoms are Ba at (0.0000, 0.0000, 0.0000), Ba at (0.3333, 0.6667, 0.1649), Ba at (0.3333, 0.6667, 0.8385), In at (0.0000, 0.0000, 0.2503), Ir at (0.3333, 0.6667, 0.4139), Ru at (0.3333, 0.6667, 0.5880), O at (0.0224, 0.5112, 0.5010), O at (0.1733, 0.3466, 0.6645) and O at (0.1737, 0.3474, 0.3338).

Entry 2:
The following is a DFT calculation (PBE) of Ba2InIrPb after structural relaxation.

For the uncorrected energy, the calculation gives -4.0293 eV/atom. The size of the total moment is 0.29 μB/cell.

It has space group P4/mmm (No. 123), with a = 6.064 Å, b = 6.064 Å, c = 5.183 Å, α = 90.00°, β = 90.00° and γ = 90.00°. The inequivalent atoms are Ba at (0.000, 0.500, 0.000), In at (0.000, 0.000, 0.500), Ir at (0.000, 0.000, 0.000) and Pb at (0.500, 0.500, 0.500).

Entry 3:
The following is a DFT calculation (PBE) of BaIn3IrPd after structural relaxation.

For the uncorrected energy, the calculation gives -4.3240 eV/atom. The size of the total moment is 0.00 μB/cell.

It has space group Cmcm (No. 63), with a = 7.430 Å, b = 12.148 Å, c = 7.388 Å, α = 90.00°, β = 90.00° and γ = 90.00°. The inequivalent atoms are Ba at (0.000, 0.236, 0.250), In at (0.000, 0.277, 0.750), In at (0.236, 0.000, 0.000), Ir at (0.000, 0.068, 0.750) and Pd at (0.000, 0.489, 0.750).

Entry 4:
The following is a DFT calculation (PBE) of BaIn4IrPd2 after structural relaxation.

For the uncorrected energy, the calculation gives -4.4128 eV/atom. The size of the total moment is 0.00 μB/cell.

It has space group R-3m (No. 166, hexagonal axes), with a = 4.5892 Å, b = 4.5892 Å, c = 31.2647 Å, α = 90.00°, β = 90.00° and γ = 120.00°. The inequivalent atoms are Ba at (0.0000, 0.0000, 0.0000), In at (0.0000, 0.0000, 0.1356), In at (0.0000, 0.0000, 0.4084), Ir at (0.0000, 0.0000, 0.5000) and Pd at (0.0000, 0.0000, 0.2274).

Entry 5:
The following is a DFT calculation (PBE) of Ba2PmIn12Ir3 after structural relaxation.

For the uncorrected energy, the calculation gives -3.8067 eV/atom. The size of the total moment is 0.00 μB/cell.

It has space group R-3m (No. 166, hexagonal axes), with a = 10.0256 Å, b = 10.0256 Å, c = 20.4749 Å, α = 90.00°, β = 90.00° and γ = 120.00°. The inequivalent atoms are Ba at (0.0000, 0.0000, 0.0923), Pm at (0.0000, 0.0000, 0.5000), In at (0.0309, 0.5155, 0.8712), In at (0.0949, 0.5474, 0.3255) and Ir at (0.0000, 0.5000, 0.0000).

Entry 6:
The following is a DFT calculation (PBE) of Ba2InIrPt after structural relaxation.

For the uncorrected energy, the calculation gives -3.6430 eV/atom. The size of the total moment is 0.87 μB/cell.

It has space group P4/mmm (No. 123), with a = 6.382 Å, b = 6.382 Å, c = 4.874 Å, α = 90.00°, β = 90.00° and γ = 90.00°. The inequivalent atoms are Ba at (0.000, 0.500, 0.000), In at (0.000, 0.000, 0.000), Ir at (0.500, 0.500, 0.500) and Pt at (0.000, 0.000, 0.500).

Entry 7:
The following is a DFT calculation (PBE) of Ba2In6IrPt after structural relaxation.

For the uncorrected energy, the calculation gives -3.8558 eV/atom. The size of the total moment is 0.00 μB/cell.

It has space group Fm-3m (No. 225), with a = 10.526 Å, b = 10.526 Å, c = 10.526 Å, α = 90.00°, β = 90.00° and γ = 90.00°. The inequivalent atoms are Ba at (0.250, 0.250, 0.250), In at (0.000, 0.000, 0.249), Ir at (0.000, 0.000, 0.000) and Pt at (0.000, 0.000, 0.500).

Entry 8:
The following is a DFT calculation (PBE) of Ba2PuIn12Ir3 after structural relaxation.

For the uncorrected energy, the calculation gives -4.3002 eV/atom. The size of the total moment is 17.59 μB/cell.

It has space group R-3m (No. 166, hexagonal axes), with a = 10.0531 Å, b = 10.0531 Å, c = 20.3434 Å, α = 90.00°, β = 90.00° and γ = 120.00°. The inequivalent atoms are Ba at (0.0000, 0.0000, 0.0935), Pu at (0.0000, 0.0000, 0.5000), In at (0.0252, 0.5126, 0.8703), In at (0.0959, 0.5480, 0.3256) and Ir at (0.0000, 0.5000, 0.0000).